Record 1
DFT (GGA-PBE) results for an optimized crystal structure of ScTc2C.

Its formation enthalpy at 0 K is -37 meV/atom.

Geometry as CIF:
```
data_ScTc2C
_chemical_formula_sum 'Sc4 Tc8 C4'
_cell_length_a 6.966
_cell_length_b 6.966
_cell_length_c 4.673
_cell_angle_alpha 90.00
_cell_angle_beta 90.00
_cell_angle_gamma 90.00
_space_group_name_H-M_alt 'I -4 2 d'
_space_group_IT_number 122
_space_group_name_Hall 'I -4 2bw'
loop_
_atom_site_label
_atom_site_fract_x
_atom_site_fract_y
_atom_site_fract_z
_atom_site_occupancy
Sc1 0.000 0.000 0.000 1
Tc1 0.139 0.250 0.625 1
C1 0.000 0.000 0.500 1
```

***

Record 2
DFT (GGA-PBE) results for an optimized crystal structure of ScTcC.

The offset from the most stable computed form is 56 meV/atom. Its formation enthalpy at 0 K is -301 meV/atom.

Geometry as CIF:
```
data_ScTcC
_chemical_formula_sum 'Sc4 Tc4 C4'
_cell_length_a 4.950
_cell_length_b 6.223
_cell_length_c 5.518
_cell_angle_alpha 90.00
_cell_angle_beta 93.45
_cell_angle_gamma 90.00
_space_group_name_H-M_alt 'P 1 21/c 1'
_space_group_IT_number 14
loop_
_space_group_symop_operation_xyz
'x,y,z'
'-x,-y,-z'
'-x,y+1/2,-z+1/2'
'x,-y+1/2,z+1/2'
loop_
_atom_site_label
_atom_site_fract_x
_atom_site_fract_y
_atom_site_fract_z
_atom_site_occupancy
Sc1 0.214 0.127 0.397 1
Tc1 0.308 0.637 0.394 1
C1 0.499 0.625 0.743 1
```

***

Record 3
DFT (GGA-PBE) results for an optimized crystal structure of ScTc2C2.

The offset from the most stable computed form is 202 meV/atom. Its formation enthalpy at 0 K is 367 meV/atom.

Geometry as CIF:
```
data_ScTc2C2
_chemical_formula_sum 'Sc2 Tc4 C4'
_cell_length_a 6.229
_cell_length_b 6.229
_cell_length_c 2.885
_cell_angle_alpha 90.00
_cell_angle_beta 90.00
_cell_angle_gamma 90.00
_space_group_name_H-M_alt 'P 4/m b m'
_space_group_IT_number 127
_space_group_name_Hall '-P 4 2ab'
loop_
_atom_site_label
_atom_site_fract_x
_atom_site_fract_y
_atom_site_fract_z
_atom_site_occupancy
Sc1 0.000 0.000 0.000 1
Tc1 0.146 0.354 0.500 1
C1 0.146 0.646 0.000 1
```

***

Repeat the first record exactly.
DFT (GGA-PBE) results for an optimized crystal structure of ScTc2C.

Its formation enthalpy at 0 K is -37 meV/atom.

Geometry as CIF:
```
data_ScTc2C
_chemical_formula_sum 'Sc4 Tc8 C4'
_cell_length_a 6.966
_cell_length_b 6.966
_cell_length_c 4.673
_cell_angle_alpha 90.00
_cell_angle_beta 90.00
_cell_angle_gamma 90.00
_space_group_name_H-M_alt 'I -4 2 d'
_space_group_IT_number 122
_space_group_name_Hall 'I -4 2bw'
loop_
_atom_site_label
_atom_site_fract_x
_atom_site_fract_y
_atom_site_fract_z
_atom_site_occupancy
Sc1 0.000 0.000 0.000 1
Tc1 0.139 0.250 0.625 1
C1 0.000 0.000 0.500 1
```